1.
# LiBiBr4 GGA-PBE relaxed
# **Space group**: C2/c, No. 15
# **V**: 35.18 Å³ per atom
# **M_tot**: 0.0 μB per formula unit
data_LiBiBr4
_chemical_formula_sum 'Li2 Bi2 Br8'
_cell_length_a 9.766
_cell_length_b 9.766
_cell_length_c 7.100
_cell_angle_alpha 103.55
_cell_angle_beta 103.55
_cell_angle_gamma 130.95
_symmetry_space_group_name_H-M 'P 1'
_symmetry_Int_Tables_number 1
loop_
_symmetry_equiv_pos_as_xyz
'x,y,z'
loop_
_atom_site_label
_atom_site_fract_x
_atom_site_fract_y
_atom_site_fract_z
Li1 0.173 0.827 0.750
Li2 0.827 0.173 0.250
Bi1 0.326 0.674 0.250
Bi2 0.674 0.326 0.750
Br1 0.069 0.473 0.756
Br2 0.163 0.313 0.240
Br3 0.313 0.163 0.740
Br4 0.473 0.069 0.256
Br5 0.527 0.931 0.744
Br6 0.687 0.837 0.260
Br7 0.837 0.687 0.760
Br8 0.931 0.527 0.244


2.
# LiBiBr4 GGA-PBE relaxed
# **Space group**: C2/m, No. 12
# **V**: 35.30 Å³ per atom
# **M_tot**: 0.0 μB per formula unit
data_LiBiBr4
_chemical_formula_sum 'Li1 Bi1 Br4'
_cell_length_a 8.257
_cell_length_b 8.257
_cell_length_c 7.106
_cell_angle_alpha 114.74
_cell_angle_beta 114.74
_cell_angle_gamma 29.01
_symmetry_space_group_name_H-M 'P 1'
_symmetry_Int_Tables_number 1
loop_
_symmetry_equiv_pos_as_xyz
'x,y,z'
loop_
_atom_site_label
_atom_site_fract_x
_atom_site_fract_y
_atom_site_fract_z
Li1 0.000 0.000 0.000
Bi1 0.500 0.500 0.500
Br1 0.117 0.117 0.782
Br2 0.396 0.396 0.740
Br3 0.604 0.604 0.260
Br4 0.883 0.883 0.218


Name the most stable of them. 2.


1.
# Li2BiBr GGA-PBE relaxed
# **Space group**: P4/mmm, No. 123
# **V**: 22.89 Å³ per atom
# **M_tot**: 0.0 μB per formula unit
data_Li2BiBr
_chemical_formula_sum 'Li2 Bi1 Br1'
_cell_length_a 3.399
_cell_length_b 3.399
_cell_length_c 7.926
_cell_angle_alpha 90.00
_cell_angle_beta 90.00
_cell_angle_gamma 90.00
_symmetry_space_group_name_H-M 'P 1'
_symmetry_Int_Tables_number 1
loop_
_symmetry_equiv_pos_as_xyz
'x,y,z'
loop_
_atom_site_label
_atom_site_fract_x
_atom_site_fract_y
_atom_site_fract_z
Li1 0.000 0.000 0.210
Li2 0.000 0.000 0.790
Bi1 0.500 0.500 0.500
Br1 0.500 0.500 0.000


2.
# Li2BiBr GGA-PBE relaxed
# **Space group**: Fm-3m, No. 225
# **V**: 23.55 Å³ per atom
# **M_tot**: 0.0 μB per formula unit
data_Li2BiBr
_chemical_formula_sum 'Li2 Bi1 Br1'
_cell_length_a 5.107
_cell_length_b 5.107
_cell_length_c 5.107
_cell_angle_alpha 60.00
_cell_angle_beta 60.00
_cell_angle_gamma 60.00
_symmetry_space_group_name_H-M 'P 1'
_symmetry_Int_Tables_number 1
loop_
_symmetry_equiv_pos_as_xyz
'x,y,z'
loop_
_atom_site_label
_atom_site_fract_x
_atom_site_fract_y
_atom_site_fract_z
Li1 0.250 0.250 0.250
Li2 0.750 0.750 0.750
Bi1 0.000 0.000 0.000
Br1 0.500 0.500 0.500


Name the most stable of them. 1.


1.
# Li2BiBr GGA-PBE relaxed
# **Space group**: I-42d, No. 122
# **V**: 26.60 Å³ per atom
# **M_tot**: 0.0 μB per formula unit
data_Li2BiBr
_chemical_formula_sum 'Li4 Bi2 Br2'
_cell_length_a 6.584
_cell_length_b 6.584
_cell_length_c 6.584
_cell_angle_alpha 115.72
_cell_angle_beta 115.72
_cell_angle_gamma 97.60
_symmetry_space_group_name_H-M 'P 1'
_symmetry_Int_Tables_number 1
loop_
_symmetry_equiv_pos_as_xyz
'x,y,z'
loop_
_atom_site_label
_atom_site_fract_x
_atom_site_fract_y
_atom_site_fract_z
Li1 0.067 0.625 0.942
Li2 0.375 0.317 0.442
Li3 0.683 0.125 0.058
Li4 0.875 0.933 0.558
Bi1 0.250 0.750 0.500
Bi2 0.500 0.500 0.000
Br1 0.000 0.000 0.000
Br2 0.750 0.250 0.500


2.
# Li2BiBr GGA-PBE relaxed
# **Space group**: R-3m, No. 166
# **V**: 25.24 Å³ per atom
# **M_tot**: 0.0 μB per formula unit
data_Li2BiBr
_chemical_formula_sum 'Li2 Bi1 Br1'
_cell_length_a 8.853
_cell_length_b 8.853
_cell_length_c 8.853
_cell_angle_alpha 24.01
_cell_angle_beta 24.01
_cell_angle_gamma 24.01
_symmetry_space_group_name_H-M 'P 1'
_symmetry_Int_Tables_number 1
loop_
_symmetry_equiv_pos_as_xyz
'x,y,z'
loop_
_atom_site_label
_atom_site_fract_x
_atom_site_fract_y
_atom_site_fract_z
Li1 0.106 0.106 0.106
Li2 0.894 0.894 0.894
Bi1 0.000 0.000 0.000
Br1 0.500 0.500 0.500


Name the most stable of them. 2.


1.
# MgBi3Br GGA-PBE relaxed
# **Space group**: Pm-3m, No. 221
# **V**: 34.39 Å³ per atom
# **M_tot**: 0.0 μB per formula unit
data_MgBi3Br
_chemical_formula_sum 'Mg1 Bi3 Br1'
_cell_length_a 5.561
_cell_length_b 5.561
_cell_length_c 5.561
_cell_angle_alpha 90.00
_cell_angle_beta 90.00
_cell_angle_gamma 90.00
_symmetry_space_group_name_H-M 'P 1'
_symmetry_Int_Tables_number 1
loop_
_symmetry_equiv_pos_as_xyz
'x,y,z'
loop_
_atom_site_label
_atom_site_fract_x
_atom_site_fract_y
_atom_site_fract_z
Mg1 0.000 0.000 0.000
Bi1 0.000 0.000 0.500
Bi2 0.000 0.500 0.000
Bi3 0.500 0.000 0.000
Br1 0.500 0.500 0.500


2.
# MgBi3Br GGA-PBE relaxed
# **Space group**: Pm-3m, No. 221
# **V**: 37.20 Å³ per atom
# **M_tot**: 0.0 μB per formula unit
data_MgBi3Br
_chemical_formula_sum 'Mg1 Bi3 Br1'
_cell_length_a 5.708
_cell_length_b 5.708
_cell_length_c 5.708
_cell_angle_alpha 90.00
_cell_angle_beta 90.00
_cell_angle_gamma 90.00
_symmetry_space_group_name_H-M 'P 1'
_symmetry_Int_Tables_number 1
loop_
_symmetry_equiv_pos_as_xyz
'x,y,z'
loop_
_atom_site_label
_atom_site_fract_x
_atom_site_fract_y
_atom_site_fract_z
Mg1 0.000 0.000 0.000
Bi1 0.000 0.500 0.500
Bi2 0.500 0.000 0.500
Bi3 0.500 0.500 0.000
Br1 0.500 0.500 0.500


Name the most stable of them. 1.